Material: LaZnPd2
Method: DFT, PBE-GGA
State: optimized geometry

Cell: 4.419 7.071 10.325 Å, 90.00 90.00 90.00°
Positions (direct):
La (0.250, 0.780, 0.835)
Pd (0.750, 0.572, 0.653)
Pd (0.250, 0.752, 0.541)
La (0.750, 0.220, 0.165)
Pd (0.250, 0.928, 0.153)
La (0.750, 0.720, 0.335)
Zn (0.250, 0.055, 0.391)
La (0.250, 0.280, 0.665)
Pd (0.250, 0.428, 0.347)
Zn (0.750, 0.445, 0.891)
Pd (0.750, 0.748, 0.041)
Zn (0.250, 0.555, 0.109)
Pd (0.250, 0.252, 0.959)
Pd (0.750, 0.248, 0.459)
Pd (0.750, 0.072, 0.847)
Zn (0.750, 0.945, 0.609)

* total magnetization: 0.0 μB/f.u.
* energy relative to the elements: -737 meV/atom
* crystal system: orthorhombic
* D(E_F): 1.98 states/eV/f.u.
* VASP energy: -4.8840 eV/atom


Material: YTi2SnO
Method: DFT, PBE-GGA
State: optimized geometry

Cell: 5.402 4.096 5.402 Å, 90.00 90.00 90.00°
Each line ends with the local moment (μB).
Positions (direct):
O (0.000, 0.500, 0.000)  -0.01
Sn (0.500, 0.500, 0.500)  -0.05
Ti (0.000, 0.000, 0.500)  0.51
Y (0.000, 0.000, 0.000)  0.06
Ti (0.500, 0.000, 0.000)  0.71

* total magnetization: 1.5 μB/f.u.
* crystal system: tetragonal
* D(E_F): 6.01 states/eV/f.u.
* formation energy from raw total energies: 0.374 eV per atom
* VASP energy: -5.8685 eV/atom


Material: FeBN2
Method: DFT, PBE-GGA
State: optimized geometry

Cell: 5.090 5.090 5.090 Å, 33.61 33.61 33.61°
Each line ends with the local moment (μB).
Positions (direct):
Fe (0.500, 0.500, 0.500)  1.04
N (0.093, 0.093, 0.093)  -0.01
N (0.907, 0.907, 0.907)  -0.01
B (0.000, 0.000, 0.000)  0.00

* total magnetization: 1.0 μB/f.u.
* crystal system: trigonal
* D(E_F): 4.28 states/eV/f.u.
* formation energy from raw total energies: -0.045 eV per atom
* VASP energy: -7.9927 eV/atom


Material: AlSb2Rh
Method: DFT, PBE-GGA
State: optimized geometry

Cell: 5.235 5.235 5.235 Å, 130.51 130.51 72.60°
Positions (direct):
Rh (0.750, 0.250, 0.500)
Sb (0.250, 0.750, 0.500)
Sb (0.000, 0.000, 0.000)
Al (0.500, 0.500, 0.000)

* total magnetization: 0.0 μB/f.u.
* crystal system: tetragonal
* D(E_F): 2.03 states/eV/f.u.
* formation energy from raw total energies: 0.136 eV per atom
* VASP energy: -4.6989 eV/atom


Material: Lu2Ga8Co
Method: DFT, PBE-GGA
State: optimized geometry

Cell: 4.196 4.196 10.992 Å, 90.00 90.00 90.00°
Positions (direct):
Lu (0.000, 0.000, 0.694)
Ga (0.000, 0.500, 0.117)
Lu (0.000, 0.000, 0.306)
Ga (0.500, 0.500, 0.306)
Ga (0.000, 0.500, 0.883)
Co (0.000, 0.000, 0.000)
Ga (0.000, 0.500, 0.500)
Ga (0.500, 0.500, 0.694)
Ga (0.500, 0.000, 0.117)
Ga (0.500, 0.000, 0.500)
Ga (0.500, 0.000, 0.883)

* total magnetization: 0.0 μB/f.u.
* energy relative to the elements: -457 meV/atom
* crystal system: tetragonal
* D(E_F): 4.15 states/eV/f.u.
* VASP energy: -4.1265 eV/atom


Material: PSeBr2
Method: DFT, PBE-GGA
State: optimized geometry

Cell: 9.579 9.579 9.579 Å, 21.17 21.17 21.17°
Positions (direct):
Br (0.900, 0.900, 0.900)
P (0.500, 0.500, 0.500)
Se (0.000, 0.000, 0.000)
Br (0.100, 0.100, 0.100)

* total magnetization: 0.0 μB/f.u.
* crystal system: trigonal
* D(E_F): 1.92 states/eV/f.u.
* formation energy from raw total energies: 0.611 eV per atom
* VASP energy: -2.4488 eV/atom


Material: Zr2SbSe
Method: DFT, PBE-GGA
State: optimized geometry

Cell: 5.451 5.451 4.860 Å, 82.20 82.20 38.10°
Positions (direct):
Sb (0.492, 0.492, 0.584)
Se (0.262, 0.262, 0.157)
Zr (0.981, 0.981, 0.090)
Zr (0.766, 0.766, 0.669)

* total magnetization: 0.0 μB/f.u.
* crystal system: monoclinic
* D(E_F): 2.21 states/eV/f.u.
* formation energy from raw total energies: -0.786 eV per atom
* VASP energy: -6.9615 eV/atom


Material: ScCr2
Method: DFT, PBE-GGA
State: optimized geometry

Cell: 2.923 2.923 6.193 Å, 90.00 90.00 120.00°
Positions (direct):
Cr (0.000, 0.000, 0.958)
Cr (0.333, 0.667, 0.709)
Sc (0.667, 0.333, 0.333)

* total magnetization: 0.0 μB/f.u.
* energy relative to the elements: 455 meV/atom
* crystal system: trigonal
* D(E_F): 4.21 states/eV/f.u.
* VASP energy: -8.0708 eV/atom


Material: Sm2YPt
Method: DFT, PBE-GGA
State: optimized geometry

Cell: 3.863 6.344 9.757 Å, 90.00 90.00 107.72°
Positions (direct):
Sm (0.863, 0.726, 0.937)
Sm (0.137, 0.274, 0.437)
Sm (0.137, 0.274, 0.063)
Pt (0.737, 0.475, 0.250)
Pt (0.263, 0.525, 0.750)
Y (0.425, 0.850, 0.250)
Sm (0.863, 0.726, 0.563)
Y (0.575, 0.150, 0.750)

* total magnetization: 0.0 μB/f.u.
* energy relative to the elements: -634 meV/atom
* crystal system: orthorhombic
* D(E_F): 4.86 states/eV/f.u.
* VASP energy: -6.1200 eV/atom


Material: Ca4AgAu3
Method: DFT, PBE-GGA
State: optimized geometry

Cell: 3.953 4.721 11.150 Å, 90.00 90.00 90.00°
Positions (direct):
Au (0.500, 0.000, 0.921)
Ag (0.500, 0.500, 0.078)
Ca (0.500, 0.500, 0.365)
Au (0.000, 0.000, 0.418)
Ca (0.000, 0.000, 0.140)
Ca (0.000, 0.500, 0.857)
Au (0.000, 0.500, 0.582)
Ca (0.500, 0.000, 0.639)

* total magnetization: 0.0 μB/f.u.
* energy relative to the elements: -682 meV/atom
* crystal system: orthorhombic
* D(E_F): 6.09 states/eV/f.u.
* VASP energy: -3.2678 eV/atom